Record 1
Computed, not measured: a relaxed structure of EuCdI2 at the PBE-GGA level of DFT.

Output
The density of states at the Fermi level is 12.62 states/eV/f.u. As for the uncorrected formation energy: -0.4225 eV per atom. The mass density comes out at 5.08 g/cm³.

Cell lengths 4.389, 4.389, 10.461 Å; angles 77.89, 77.89, 60.00 degrees
Site moments in Bohr magnetons follow the coordinates.
Sites, in units of the cell vectors:
Eu 0.000 0.000 0.000  7.07
Cd 0.500 0.500 0.500  0.02
I 0.896 0.896 0.311  0.00
I 0.104 0.104 0.689  0.00


Record 2
Computed, not measured: a relaxed structure of Cd2IrRh at the PBE-GGA level of DFT.

Output
The density of states at the Fermi level is 4.15 states/eV/f.u. The calculation puts the energy of formation at 226 meV/atom. The mass density comes out at 12.61 g/cm³.

Cell lengths 4.592, 4.592, 4.592 Å; angles 60.00, 60.00, 60.00 degrees
Site moments in Bohr magnetons follow the coordinates.
Sites, in units of the cell vectors:
Cd 0.000 0.000 0.000  0.00
Cd 0.250 0.250 0.250  0.00
Ir 0.500 0.500 0.500  0.59
Rh 0.750 0.750 0.750  0.66


Record 3
Computed, not measured: a relaxed structure of Zn2TcPt at the PBE-GGA level of DFT.

Output
The density of states at the Fermi level is 2.84 states/eV/f.u. The calculation puts the energy of formation at -98 meV/atom. The calculation puts the polymorph energy (0 for the lowest one) at 0.17 eV per formula unit. The mass density comes out at 12.05 g/cm³.

Cell lengths 3.863, 2.730, 6.176 Å; angles 63.73, 90.00, 90.00 degrees
Sites, in units of the cell vectors:
Pt 0.000 0.502 0.498
Tc 0.500 0.746 0.753
Zn 0.500 0.253 0.248
Zn 0.000 0.999 0.000


Record 4
Computed, not measured: a relaxed structure of ScMn2 at the PBE-GGA level of DFT.

Output
The density of states at the Fermi level is 2.92 states/eV/f.u. The calculation puts the energy of formation at 187 meV/atom. The mass density comes out at 5.55 g/cm³.

Cell lengths 6.961, 6.961, 6.961 Å; angles 148.32, 148.32, 45.42 degrees
Sites, in units of the cell vectors:
Sc 0.750 0.250 0.500
Sc 0.000 0.000 0.000
Mn 0.165 0.665 0.500
Mn 0.335 0.835 0.500
Mn 0.585 0.585 0.000
Mn 0.415 0.415 0.000


Record 5
Computed, not measured: a relaxed structure of HoHfAgPd at the PBE-GGA level of DFT.

Output
The density of states at the Fermi level is 2.37 states/eV/f.u. The calculation puts the energy of formation at -369 meV/atom. The mass density comes out at 11.20 g/cm³.

Cell lengths 4.889, 4.889, 4.889 Å; angles 60.00, 60.00, 60.00 degrees
Sites, in units of the cell vectors:
Ag 0.250 0.250 0.250
Ho 0.000 0.000 0.000
Pd 0.750 0.750 0.750
Hf 0.500 0.500 0.500


Record 6
Computed, not measured: a relaxed structure of LaTbTc4 at the PBE-GGA level of DFT.

Output
The density of states at the Fermi level is 9.96 states/eV/f.u. The calculation puts the energy of formation at 24 meV/atom. The mass density comes out at 9.87 g/cm³.

Cell lengths 5.474, 5.474, 5.474 Å; angles 60.00, 60.00, 60.00 degrees
Sites, in units of the cell vectors:
Tb 0.000 0.000 0.000
La 0.250 0.250 0.250
Tc 0.125 0.625 0.625
Tc 0.625 0.625 0.125
Tc 0.625 0.125 0.625
Tc 0.625 0.625 0.625


Record 7
Computed, not measured: a relaxed structure of LaMnMo2 at the PBE-GGA level of DFT.

Output
The density of states at the Fermi level is 5.84 states/eV/f.u. The calculation puts the energy of formation at 666 meV/atom. The calculation puts the polymorph energy (0 for the lowest one) at 1.41 eV per formula unit. The mass density comes out at 8.88 g/cm³.

Cell lengths 5.243, 5.506, 2.938 Å; angles 79.35, 80.08, 115.48 degrees
Site moments in Bohr magnetons follow the coordinates.
Sites, in units of the cell vectors:
Mn 0.500 0.500 0.000  2.81
Mo 0.000 0.000 0.000  -0.28
Mo 0.500 0.000 0.500  -0.28
La 0.000 0.500 0.500  -0.11


Record 8
Computed, not measured: a relaxed structure of SrCrTe4 at the PBE-GGA level of DFT.

Output
The density of states at the Fermi level is 1.78 states/eV/f.u. As for the uncorrected formation energy: 0.1496 eV per atom. The mass density comes out at 5.63 g/cm³.

Cell lengths 6.473, 6.473, 6.473 Å; angles 60.00, 60.00, 60.00 degrees
Site moments in Bohr magnetons follow the coordinates.
Sites, in units of the cell vectors:
Te 0.873 0.376 0.376  0.01
Te 0.376 0.376 0.873  0.01
Te 0.376 0.873 0.376  0.01
Te 0.376 0.376 0.376  0.01
Sr 0.000 0.000 0.000  0.05
Cr 0.750 0.750 0.750  4.35


Record 9
Computed, not measured: a relaxed structure of CeTmZnRh at the PBE-GGA level of DFT.

Output
The density of states at the Fermi level is 6.12 states/eV/f.u. The calculation puts the energy of formation at -513 meV/atom. The mass density comes out at 9.20 g/cm³.

Cell lengths 4.957, 4.957, 4.957 Å; angles 60.00, 60.00, 60.00 degrees
Site moments in Bohr magnetons follow the coordinates.
Sites, in units of the cell vectors:
Ce 0.750 0.750 0.750  0.53
Zn 0.500 0.500 0.500  0.01
Tm 0.250 0.250 0.250  0.04
Rh 0.000 0.000 0.000  -0.01


Record 10
Computed, not measured: a relaxed structure of CeH6Rh2 at the PBE-GGA level of DFT.

Output
The density of states at the Fermi level is 3.41 states/eV/f.u. The calculation puts the polymorph energy (0 for the lowest one) at 0.57 eV per formula unit. The mass density comes out at 6.80 g/cm³.

Cell lengths 3.758, 4.589, 5.885 Å; angles 72.44, 71.38, 65.83 degrees
Site moments in Bohr magnetons follow the coordinates.
Sites, in units of the cell vectors:
H 0.995 0.862 0.148  0.00
H 0.299 0.843 0.558  0.00
H 0.005 0.138 0.852  0.00
H 0.710 0.680 0.899  0.00
H 0.701 0.157 0.442  0.00
H 0.290 0.320 0.101  0.00
Rh 0.204 0.725 0.867  0.02
Rh 0.796 0.275 0.133  0.02
Ce 0.000 0.500 0.500  -0.19


Record 11
Computed, not measured: a relaxed structure of SrLi4Tl2In at the PBE-GGA level of DFT.

Output
The density of states at the Fermi level is 4.91 states/eV/f.u. The calculation puts the energy of formation at -231 meV/atom. The mass density comes out at 5.61 g/cm³.

Cell lengths 4.834, 4.834, 9.745 Å; angles 75.64, 75.64, 60.00 degrees
Sites, in units of the cell vectors:
In 0.500 0.500 0.500
Li 0.404 0.404 0.788
Li 0.867 0.867 0.399
Li 0.133 0.133 0.601
Li 0.596 0.596 0.212
Sr 0.000 0.000 0.000
Tl 0.248 0.248 0.255
Tl 0.752 0.752 0.745